1.
{"formula": "InSi2Te", "functional": "SCAN", "state": "PBEsol geometry", "e_form_raw_ev_per_atom": 0.676, "magnetic_moment_mub_per_cell": 0.00, "sg": "Immm, No. 71", "volume_a3_per_cell": 85, "lattice_angstrom": [[3.565, 0.000, 0.000], [0.000, 5.245, 0.000], [-1.782, -2.622, 4.547]], "species": ["In", "Si", "Si", "Te"], "frac_coords": [[0.000, 0.500, 0.000], [0.756, 0.756, 0.512], [0.244, 0.244, 0.488], [0.500, 0.000, 0.000]]}


2.
{"formula": "MoRh2", "functional": "SCAN", "state": "PBEsol geometry", "magnetic_moment_mub_per_cell": 0.00, "delta_e_f_ev_per_atom": -0.191, "sg": "Cmcm, No. 63", "volume_a3_per_cell": 84, "lattice_angstrom": [[-3.718, -0.889, 0.188], [0.366, -2.193, -3.118], [3.101, -4.050, 3.213]], "species": ["Mo", "Mo", "Rh", "Rh", "Rh", "Rh"], "frac_coords": [[0.412, 0.250, 0.825], [0.588, 0.750, 0.175], [0.080, 0.250, 0.161], [0.920, 0.750, 0.839], [0.751, 0.250, 0.502], [0.249, 0.750, 0.498]]}


3.
{"formula": "LiMoP2O7", "functional": "SCAN", "state": "PBEsol geometry", "e_form_raw_ev_per_atom": -2.356, "magnetic_moment_mub_per_cell": 6.00, "sg": "P2_1, No. 4", "volume_a3_per_cell": 274, "lattice_angstrom": [[4.910, -0.011, 0.000], [-2.264, 6.679, 0.000], [0.000, 0.000, 8.376]], "species": ["Li", "Li", "Mo", "Mo", "P", "P", "P", "P", "O", "O", "O", "O", "O", "O", "O", "O", "O", "O", "O", "O", "O", "O"], "frac_coords": [[0.320, 0.335, 0.856], [0.680, 0.665, 0.356], [0.710, 0.725, 0.002], [0.290, 0.275, 0.502], [0.288, 0.919, 0.788], [0.712, 0.081, 0.288], [0.905, 0.532, 0.679], [0.095, 0.468, 0.179], [0.297, 0.508, 0.035], [0.905, 0.237, 0.158], [0.740, 0.511, 0.837], [0.260, 0.489, 0.337], [0.703, 0.492, 0.535], [0.095, 0.763, 0.658], [0.447, 0.140, 0.323], [0.553, 0.860, 0.823], [0.106, 0.407, 0.682], [0.108, 0.917, 0.937], [0.363, 0.121, 0.704], [0.637, 0.879, 0.204], [0.892, 0.083, 0.437], [0.894, 0.593, 0.182]]}


4.
{"formula": "NiAs3Cl", "functional": "SCAN", "state": "PBEsol geometry", "e_form_raw_ev_per_atom": 0.490, "magnetic_moment_mub_per_cell": 2.10, "sg": "Pm-3m, No. 221", "volume_a3_per_cell": 97, "lattice_angstrom": [[4.596, 0.000, 0.000], [0.000, 4.596, 0.000], [0.000, 0.000, 4.596]], "species": ["Ni", "As", "As", "As", "Cl"], "frac_coords": [[0.000, 0.000, 0.000], [0.000, 0.500, 0.000], [0.000, 0.000, 0.500], [0.500, 0.000, 0.000], [0.500, 0.500, 0.500]]}


5.
{"formula": "SrInAu5", "functional": "SCAN", "state": "PBEsol geometry", "magnetic_moment_mub_per_cell": 0.00, "delta_e_f_ev_per_atom": -0.524, "sg": "I-4m2, No. 119", "volume_a3_per_cell": 140, "lattice_angstrom": [[-3.428, -2.451, -3.440], [1.861, -1.163, -5.327], [-0.050, -5.759, -0.149]], "species": ["Sr", "In", "Au", "Au", "Au", "Au", "Au"], "frac_coords": [[0.000, 0.000, 0.000], [0.250, 0.500, 0.500], [0.306, 0.388, 0.000], [0.694, 0.612, 0.000], [0.694, 0.000, 0.612], [0.306, 0.000, 0.388], [0.750, 0.500, 0.500]]}


6.
{"formula": "Fe2CoCu", "functional": "SCAN", "state": "PBEsol geometry", "magnetic_moment_mub_per_cell": 7.07, "delta_e_f_ev_per_atom": 0.071, "sg": "Pmm2, No. 25", "volume_a3_per_cell": 44, "lattice_angstrom": [[-1.655, -0.712, -1.715], [1.745, -3.042, -0.422], [-2.797, -2.099, 3.569]], "species": ["Co", "Cu", "Fe", "Fe"], "frac_coords": [[0.000, 0.000, 0.491], [0.500, 0.500, 0.749], [0.000, 0.000, 0.002], [0.500, 0.500, 0.258]]}